Entry 1:
First-principles (PBE) data for a relaxed structure of As2IO, as listed in Alexandria via LeMat-Bulk.

Values from the calculation:
- E above lowest polymorph: 0.764 eV per atom
- Formation energy (no corrections): 0.8536 eV/atom
- Space-group type: Fm-3m
- ρ: 6.44 g/cm³
- V: 302.0 Å³/cell

Unit cell a=6.709 b=6.709 c=6.709 alpha=90.00 beta=90.00 gamma=90.00
Fractional positions:
As1 0.250 0.250 0.250
As2 0.250 0.250 0.750
As3 0.250 0.750 0.250
As4 0.250 0.750 0.750
As5 0.750 0.250 0.250
As6 0.750 0.250 0.750
As7 0.750 0.750 0.250
As8 0.750 0.750 0.750
I1 0.000 0.000 0.000
I2 0.000 0.500 0.500
I3 0.500 0.000 0.500
I4 0.500 0.500 0.000
O1 0.000 0.000 0.500
O2 0.000 0.500 0.000
O3 0.500 0.000 0.000
O4 0.500 0.500 0.500


Entry 2:
First-principles (PBE) data for a relaxed structure of AsI2O2, as listed in Alexandria via LeMat-Bulk.

Values from the calculation:
- E above lowest polymorph: 0.405 eV per atom
- Formation energy (no corrections): 0.5460 eV/atom
- Space-group type: P4/mmm
- ρ: 4.96 g/cm³
- V: 120.8 Å³/cell

Unit cell a=5.731 b=5.731 c=3.677 alpha=90.00 beta=90.00 gamma=90.00
Fractional positions:
As1 0.000 0.000 0.000
I1 0.000 0.500 0.000
I2 0.500 0.000 0.000
O1 0.000 0.000 0.500
O2 0.500 0.500 0.500


Entry 3:
First-principles (PBE) data for a relaxed structure of AsI2O2, as listed in Alexandria via LeMat-Bulk.

Values from the calculation:
- E above lowest polymorph: 0.722 eV per atom
- Formation energy (no corrections): 0.8622 eV/atom
- Space-group type: P4/mmm
- ρ: 6.29 g/cm³
- V: 95.2 Å³/cell

Unit cell a=4.910 b=4.910 c=3.949 alpha=90.00 beta=90.00 gamma=90.00
Fractional positions:
As1 0.000 0.000 0.000
I1 0.000 0.500 0.500
I2 0.500 0.000 0.500
O1 0.500 0.500 0.000
O2 0.500 0.500 0.500


Entry 4:
First-principles (PBE) data for a relaxed structure of AsIO2, as listed in Alexandria via LeMat-Bulk.

Values from the calculation:
- E above lowest polymorph: 0.604 eV per atom
- Formation energy (no corrections): 0.1826 eV/atom
- Space-group type: R-3m
- ρ: 5.15 g/cm³
- V: 226.1 Å³/cell

Unit cell a=3.259 b=3.259 c=24.578 alpha=90.00 beta=90.00 gamma=120.00
Fractional positions:
As1 0.000 0.000 0.000
As2 0.333 0.667 0.667
As3 0.667 0.333 0.333
I1 0.000 0.000 0.500
I2 0.333 0.667 0.167
I3 0.667 0.333 0.833
O1 0.000 0.000 0.069
O2 0.000 0.000 0.931
O3 0.333 0.667 0.598
O4 0.333 0.667 0.735
O5 0.667 0.333 0.265
O6 0.667 0.333 0.402


Entry 5:
First-principles (PBE) data for a relaxed structure of As2IO8, as listed in Alexandria via LeMat-Bulk.

Values from the calculation:
- Formation energy (no corrections): -0.5209 eV/atom
- Space-group type: C2/m
- ρ: 3.63 g/cm³
- V: 185.3 Å³/cell

Unit cell a=7.184 b=7.184 c=4.961 alpha=91.66 beta=91.66 gamma=46.40
Fractional positions:
As1 0.156 0.156 0.423
As2 0.844 0.844 0.577
I1 0.000 0.000 0.000
O1 0.123 0.123 0.764
O2 0.145 0.693 0.751
O3 0.279 0.279 0.390
O4 0.307 0.855 0.249
O5 0.693 0.145 0.751
O6 0.721 0.721 0.610
O7 0.855 0.307 0.249
O8 0.877 0.877 0.236


Entry 6:
First-principles (PBE) data for a relaxed structure of AsIO2, as listed in Alexandria via LeMat-Bulk.

Values from the calculation:
- E above lowest polymorph: 0.185 eV per atom
- Formation energy (no corrections): -0.2367 eV/atom
- Space-group type: R-3m
- ρ: 5.55 g/cm³
- V: 209.7 Å³/cell

Unit cell a=3.546 b=3.546 c=19.257 alpha=90.00 beta=90.00 gamma=120.00
Fractional positions:
As1 0.000 0.000 0.000
As2 0.333 0.667 0.667
As3 0.667 0.333 0.333
I1 0.000 0.000 0.500
I2 0.333 0.667 0.167
I3 0.667 0.333 0.833
O1 0.000 0.000 0.385
O2 0.000 0.000 0.615
O3 0.333 0.667 0.051
O4 0.333 0.667 0.282
O5 0.667 0.333 0.718
O6 0.667 0.333 0.949


Entry 7:
First-principles (PBE) data for a relaxed structure of AsI2O2, as listed in Alexandria via LeMat-Bulk.

Values from the calculation:
- E above lowest polymorph: 0.000 eV per atom
- Formation energy (no corrections): 0.1405 eV/atom
- Space-group type: P4/mmm
- ρ: 5.34 g/cm³
- V: 112.2 Å³/cell

Unit cell a=4.128 b=4.128 c=6.585 alpha=90.00 beta=90.00 gamma=90.00
Fractional positions:
As1 0.000 0.000 0.000
I1 0.000 0.000 0.500
I2 0.500 0.500 0.500
O1 0.000 0.500 0.000
O2 0.500 0.000 0.000


Entry 8:
First-principles (PBE) data for a relaxed structure of As2IO, as listed in Alexandria via LeMat-Bulk.

Values from the calculation:
- E above lowest polymorph: 0.000 eV per atom
- Formation energy (no corrections): 0.0894 eV/atom
- Space-group type: I-42d
- ρ: 5.17 g/cm³
- V: 376.3 Å³/cell

Unit cell a=5.235 b=5.235 c=13.731 alpha=90.00 beta=90.00 gamma=90.00
Fractional positions:
As1 0.049 0.250 0.125
As2 0.250 0.549 0.375
As3 0.250 0.951 0.875
As4 0.451 0.250 0.625
As5 0.549 0.750 0.625
As6 0.750 0.049 0.875
As7 0.750 0.451 0.375
As8 0.951 0.750 0.125
I1 0.000 0.000 0.500
I2 0.000 0.500 0.750
I3 0.500 0.000 0.250
I4 0.500 0.500 0.000
O1 0.000 0.000 0.000
O2 0.000 0.500 0.250
O3 0.500 0.000 0.750
O4 0.500 0.500 0.500


Entry 9:
First-principles (PBE) data for a relaxed structure of AsIO2, as listed in Alexandria via LeMat-Bulk.

Values from the calculation:
- E above lowest polymorph: 1.105 eV per atom
- Formation energy (no corrections): 0.6838 eV/atom
- Space-group type: Fm-3m
- ρ: 6.77 g/cm³
- V: 229.4 Å³/cell

Unit cell a=6.121 b=6.121 c=6.121 alpha=90.00 beta=90.00 gamma=90.00
Fractional positions:
As1 0.000 0.000 0.000
As2 0.000 0.500 0.500
As3 0.500 0.000 0.500
As4 0.500 0.500 0.000
I1 0.000 0.000 0.500
I2 0.000 0.500 0.000
I3 0.500 0.000 0.000
I4 0.500 0.500 0.500
O1 0.250 0.250 0.250
O2 0.250 0.250 0.750
O3 0.250 0.750 0.250
O4 0.250 0.750 0.750
O5 0.750 0.250 0.250
O6 0.750 0.250 0.750
O7 0.750 0.750 0.250
O8 0.750 0.750 0.750


Entry 10:
First-principles (PBE) data for a relaxed structure of As3IO, as listed in Alexandria via LeMat-Bulk.

Values from the calculation:
- E above lowest polymorph: 1.328 eV per atom
- Formation energy (no corrections): 1.8952 eV/atom
- Space-group type: Pm-3m
- ρ: 3.97 g/cm³
- V: 153.9 Å³/cell

Unit cell a=5.359 b=5.359 c=5.359 alpha=90.00 beta=90.00 gamma=90.00
Fractional positions:
As1 0.000 0.000 0.500
As2 0.000 0.500 0.000
As3 0.500 0.000 0.000
I1 0.000 0.000 0.000
O1 0.500 0.500 0.500


Entry 11:
First-principles (PBE) data for a relaxed structure of AsIO4, as listed in Alexandria via LeMat-Bulk.

Values from the calculation:
- Formation energy (no corrections): -0.2746 eV/atom
- Space-group type: C2/c
- ρ: 3.58 g/cm³
- V: 246.5 Å³/cell

Unit cell a=5.231 b=5.231 c=10.355 alpha=100.77 beta=100.77 gamma=63.11
Fractional positions:
As1 0.000 0.500 0.000
As2 0.500 0.000 0.500
I1 0.172 0.828 0.750
I2 0.828 0.172 0.250
O1 0.080 0.731 0.910
O2 0.118 0.195 0.829
O3 0.195 0.118 0.329
O4 0.269 0.920 0.590
O5 0.731 0.080 0.410
O6 0.805 0.882 0.671
O7 0.882 0.805 0.171
O8 0.920 0.269 0.090


Entry 12:
First-principles (PBE) data for a relaxed structure of As3IO, as listed in Alexandria via LeMat-Bulk.

Values from the calculation:
- E above lowest polymorph: 0.000 eV per atom
- Formation energy (no corrections): 0.5671 eV/atom
- Space-group type: Pm-3m
- ρ: 6.23 g/cm³
- V: 98.1 Å³/cell

Unit cell a=4.611 b=4.611 c=4.611 alpha=90.00 beta=90.00 gamma=90.00
Fractional positions:
As1 0.000 0.000 0.500
As2 0.000 0.500 0.000
As3 0.500 0.000 0.000
I1 0.500 0.500 0.500
O1 0.000 0.000 0.000


Entry 13:
First-principles (PBE) data for a relaxed structure of AsI2O, as listed in Alexandria via LeMat-Bulk.

Values from the calculation:
- E above lowest polymorph: 0.207 eV per atom
- Formation energy (no corrections): 0.7620 eV/atom
- Space-group type: Fm-3m
- ρ: 6.62 g/cm³
- V: 346.0 Å³/cell

Unit cell a=7.020 b=7.020 c=7.020 alpha=90.00 beta=90.00 gamma=90.00
Fractional positions:
As1 0.000 0.000 0.000
As2 0.000 0.500 0.500
As3 0.500 0.000 0.500
As4 0.500 0.500 0.000
I1 0.250 0.250 0.250
I2 0.250 0.250 0.750
I3 0.250 0.750 0.250
I4 0.250 0.750 0.750
I5 0.750 0.250 0.250
I6 0.750 0.250 0.750
I7 0.750 0.750 0.250
I8 0.750 0.750 0.750
O1 0.000 0.000 0.500
O2 0.000 0.500 0.000
O3 0.500 0.000 0.000
O4 0.500 0.500 0.500


Entry 14:
First-principles (PBE) data for a relaxed structure of AsIO2, as listed in Alexandria via LeMat-Bulk.

Values from the calculation:
- E above lowest polymorph: 0.000 eV per atom
- Formation energy (no corrections): -0.4214 eV/atom
- Space-group type: Fd-3m
- ρ: 4.95 g/cm³
- V: 156.8 Å³/cell

Unit cell a=6.052 b=6.052 c=6.052 alpha=60.00 beta=60.00 gamma=60.00
Fractional positions:
As1 0.125 0.125 0.125
As2 0.875 0.875 0.875
I1 0.375 0.375 0.375
I2 0.625 0.625 0.625
O1 0.000 0.000 0.000
O2 0.000 0.000 0.500
O3 0.000 0.500 0.000
O4 0.500 0.000 0.000


Entry 15:
First-principles (PBE) data for a relaxed structure of AsIO5, as listed in Alexandria via LeMat-Bulk.

Values from the calculation:
- Formation energy (no corrections): -0.6337 eV/atom
- Space-group type: Cc
- ρ: 4.16 g/cm³
- V: 225.0 Å³/cell

Unit cell a=5.534 b=5.534 c=8.179 alpha=108.52 beta=108.52 gamma=86.44
Fractional positions:
As1 0.132 0.868 0.500
As2 0.868 0.132 0.000
I1 0.008 0.504 0.756
I2 0.504 0.008 0.256
O1 0.145 0.173 0.182
O2 0.156 0.609 0.578
O3 0.173 0.145 0.682
O4 0.294 0.609 0.938
O5 0.387 0.836 0.417
O6 0.609 0.156 0.078
O7 0.609 0.294 0.438
O8 0.829 0.854 0.818
O9 0.836 0.387 0.917
O10 0.854 0.829 0.318


Entry 16:
First-principles (PBE) data for a relaxed structure of AsOsIO2, as listed in Alexandria via LeMat-Bulk.

Values from the calculation:
- E above lowest polymorph: 0.000 eV per atom
- Formation energy (no corrections): -0.0571 eV/atom
- Space-group type: P4/mmm
- ρ: 5.81 g/cm³
- V: 121.2 Å³/cell

Unit cell a=3.802 b=3.802 c=8.384 alpha=90.00 beta=90.00 gamma=90.00
Fractional positions:
As1 0.000 0.000 0.000
Os1 0.500 0.500 0.500
I1 0.500 0.500 0.000
O1 0.000 0.500 0.500
O2 0.500 0.000 0.500


Entry 17:
First-principles (PBE) data for a relaxed structure of AsOsIO2, as listed in Alexandria via LeMat-Bulk.

Values from the calculation:
- E above lowest polymorph: 0.708 eV per atom
- Formation energy (no corrections): 0.6512 eV/atom
- Space-group type: P4/mmm
- ρ: 7.28 g/cm³
- V: 96.8 Å³/cell

Unit cell a=3.773 b=3.773 c=6.800 alpha=90.00 beta=90.00 gamma=90.00
Fractional positions:
As1 0.000 0.000 0.000
Os1 0.500 0.500 0.500
I1 0.000 0.000 0.500
O1 0.000 0.500 0.000
O2 0.500 0.000 0.000


Entry 18:
First-principles (PBE) data for a relaxed structure of AsP2IO, as listed in Alexandria via LeMat-Bulk.

Values from the calculation:
- E above lowest polymorph: 0.561 eV per atom
- Formation energy (no corrections): 1.0218 eV/atom
- Space-group type: P4/mmm
- ρ: 4.46 g/cm³
- V: 104.1 Å³/cell

Unit cell a=5.163 b=5.163 c=3.905 alpha=90.00 beta=90.00 gamma=90.00
Fractional positions:
As1 0.000 0.000 0.000
P1 0.000 0.500 0.500
P2 0.500 0.000 0.500
I1 0.500 0.500 0.500
O1 0.500 0.500 0.000


Entry 19:
First-principles (PBE) data for a relaxed structure of AsP2IO, as listed in Alexandria via LeMat-Bulk.

Values from the calculation:
- E above lowest polymorph: 0.000 eV per atom
- Formation energy (no corrections): 0.4612 eV/atom
- Space-group type: P4/mmm
- ρ: 4.99 g/cm³
- V: 93.1 Å³/cell

Unit cell a=4.942 b=4.942 c=3.813 alpha=90.00 beta=90.00 gamma=90.00
Fractional positions:
As1 0.000 0.000 0.000
P1 0.000 0.500 0.000
P2 0.500 0.000 0.000
I1 0.500 0.500 0.500
O1 0.000 0.000 0.500


Entry 20:
First-principles (PBE) data for a relaxed structure of PaAsIO4, as listed in Alexandria via LeMat-Bulk.

Values from the calculation:
- Formation energy (no corrections): -1.9503 eV/atom
- Space-group type: C2/m
- ρ: 5.48 g/cm³
- V: 301.1 Å³/cell

Unit cell a=6.674 b=6.674 c=8.282 alpha=107.80 beta=107.80 gamma=60.77
Fractional positions:
Pa1 0.184 0.184 0.365
Pa2 0.816 0.816 0.635
As1 0.180 0.180 0.763
As2 0.820 0.820 0.237
I1 0.499 0.499 0.336
I2 0.501 0.501 0.664
O1 0.015 0.015 0.689
O2 0.016 0.396 0.617
O3 0.160 0.160 0.129
O4 0.396 0.016 0.617
O5 0.604 0.984 0.383
O6 0.840 0.840 0.871
O7 0.984 0.604 0.383
O8 0.985 0.985 0.311